A plane-wave DFT calculation with GGA-PBE was carried out for a geometry-optimized PmInAg2 structure.

Results
polymorph energy (0 for the lowest one)	0.0	meV/atom
calculated volume	22.4	A^3/atom
space group	Fm-3m (225)
E_form	-35.2	kJ per mole of atoms

a = 5.025 Å, b = 5.025 Å, c = 5.025 Å
α = 60.00°, β = 60.00°, γ = 60.00°
Fractional positions:
In 0.500 0.500 0.500
Ag 0.250 0.250 0.250
Ag 0.750 0.750 0.750
Pm 0.000 0.000 0.000

A plane-wave DFT calculation with GGA-PBE was carried out for a geometry-optimized Ta2InCl structure.

Results
polymorph energy (0 for the lowest one)	752.9	meV/atom
calculated volume	18.5	A^3/atom
space group	Fm-3m (225)
E_form (uncorrected)	0.625	eV/atom

a = 4.711 Å, b = 4.711 Å, c = 4.711 Å
α = 60.00°, β = 60.00°, γ = 60.00°
Fractional positions:
Cl 0.000 0.000 0.000
In 0.500 0.500 0.500
Ta 0.250 0.250 0.250
Ta 0.750 0.750 0.750

A plane-wave DFT calculation with GGA-PBE was carried out for a geometry-optimized GaFe2W2 structure.

Results
calculated volume	14.0	A^3/atom
space group	P4/mbm (127)
E_form	19.1	kJ per mole of atoms

a = 7.052 Å, b = 7.052 Å, c = 2.809 Å
α = 90.00°, β = 90.00°, γ = 90.00°
Fractional positions:
Ga 0.000 0.000 0.000
Ga 0.500 0.500 0.000
W 0.164 0.664 0.500
W 0.664 0.836 0.500
W 0.836 0.336 0.500
W 0.336 0.164 0.500
Fe 0.371 0.871 0.000
Fe 0.871 0.629 0.000
Fe 0.629 0.129 0.000
Fe 0.129 0.371 0.000

A plane-wave DFT calculation with GGA-PBE was carried out for a geometry-optimized ZnHgAs structure.

Results
polymorph energy (0 for the lowest one)	0.0	meV/atom
calculated volume	23.2	A^3/atom
space group	P2_1/m (11)
E_form	3.2	kJ per mole of atoms

a = 4.091 Å, b = 4.005 Å, c = 8.775 Å
α = 90.00°, β = 104.90°, γ = 90.00°
Fractional positions:
Hg 0.273 0.250 0.400
Hg 0.727 0.750 0.600
As 0.149 0.250 0.812
As 0.851 0.750 0.188
Zn 0.748 0.250 0.988
Zn 0.252 0.750 0.012

A plane-wave DFT calculation with GGA-PBE was carried out for a geometry-optimized P2RhBr structure.

Results
polymorph energy (0 for the lowest one)	960.8	meV/atom
calculated volume	16.0	A^3/atom
space group	P4/mmm (123)
E_form (uncorrected)	0.758	eV/atom

a = 4.672 Å, b = 4.672 Å, c = 2.939 Å
α = 90.00°, β = 90.00°, γ = 90.00°
Fractional positions:
Br 0.000 0.500 0.500
P 0.000 0.000 0.000
P 0.500 0.500 0.000
Rh 0.500 0.000 0.500

A plane-wave DFT calculation with GGA-PBE was carried out for a geometry-optimized B3OsRu structure.

Results
polymorph energy (0 for the lowest one)	385.5	meV/atom
calculated volume	12.1	A^3/atom
space group	Pm-3m (221)
E_form	159.8	kJ per mole of atoms

a = 3.924 Å, b = 3.924 Å, c = 3.924 Å
α = 90.00°, β = 90.00°, γ = 90.00°
Fractional positions:
Ru 0.000 0.000 0.000
B 0.000 0.500 0.000
B 0.000 0.000 0.500
B 0.500 0.000 0.000
Os 0.500 0.500 0.500

A plane-wave DFT calculation with GGA-PBE was carried out for a geometry-optimized Re5Mo structure.

Results
polymorph energy (0 for the lowest one)	19.7	meV/atom
calculated volume	15.2	A^3/atom
space group	P4/mmm (123)
E_form	9.4	kJ per mole of atoms

a = 2.771 Å, b = 2.771 Å, c = 11.874 Å
α = 90.00°, β = 90.00°, γ = 90.00°
Fractional positions:
Re 0.000 0.000 0.827
Re 0.000 0.000 0.173
Re 0.500 0.500 0.667
Re 0.500 0.500 0.333
Re 0.000 0.000 0.500
Mo 0.500 0.500 0.000

A plane-wave DFT calculation with GGA-PBE was carried out for a geometry-optimized Ba2DyBiSe5 structure.

Results
calculated volume	32.0	A^3/atom
space group	Cmc2_1 (36)
E_form (uncorrected)	-1.524	eV/atom

a = 4.425 Å, b = 9.481 Å, c = 14.097 Å
α = 90.00°, β = 90.00°, γ = 103.50°
Fractional positions:
Ba 0.859 0.717 0.804
Ba 0.106 0.212 0.679
Ba 0.141 0.283 0.304
Ba 0.894 0.788 0.179
Dy 0.786 0.571 0.521
Dy 0.214 0.429 0.021
Bi 0.534 0.067 0.952
Bi 0.466 0.933 0.452
Se 0.367 0.735 0.995
Se 0.682 0.365 0.885
Se 0.489 0.978 0.761
Se 0.279 0.558 0.655
Se 0.938 0.876 0.572
Se 0.633 0.265 0.495
Se 0.318 0.635 0.385
Se 0.511 0.022 0.261
Se 0.721 0.442 0.155
Se 0.062 0.124 0.072

A plane-wave DFT calculation with GGA-PBE was carried out for a geometry-optimized Cu2MoPt structure.

Results
polymorph energy (0 for the lowest one)	63.4	meV/atom
calculated volume	14.1	A^3/atom
space group	Pm (6)
E_form	0.5	kJ per mole of atoms

a = 3.896 Å, b = 2.708 Å, c = 5.993 Å
α = 63.12°, β = 90.00°, γ = 90.00°
Fractional positions:
Cu 0.000 0.985 0.017
Cu 0.500 0.266 0.235
Mo 0.000 0.490 0.508
Pt 0.500 0.759 0.740

A plane-wave DFT calculation with GGA-PBE was carried out for a geometry-optimized Ac2LaNd5Y structure.

Results
calculated volume	38.0	A^3/atom
space group	Cmc2_1 (36)
E_form	12.2	kJ per mole of atoms

a = 5.885 Å, b = 10.769 Å, c = 11.206 Å
α = 90.00°, β = 90.00°, γ = 105.86°
Fractional positions:
Ac 0.875 0.749 0.831
Ac 0.107 0.214 0.736
Ac 0.125 0.251 0.331
Ac 0.893 0.786 0.236
La 0.785 0.570 0.498
La 0.215 0.430 0.998
Nd 0.405 0.811 0.032
Nd 0.711 0.423 0.794
Nd 0.474 0.949 0.746
Nd 0.291 0.582 0.689
Nd 0.977 0.954 0.533
Nd 0.595 0.189 0.532
Nd 0.289 0.577 0.294
Nd 0.526 0.051 0.246
Nd 0.709 0.418 0.189
Nd 0.023 0.046 0.033
Y 0.589 0.179 0.965
Y 0.411 0.821 0.465

A plane-wave DFT calculation with GGA-PBE was carried out for a geometry-optimized Na3PaSb3Se8 structure.

Results
calculated volume	28.7	A^3/atom
space group	R-3m (166)
E_form (uncorrected)	-0.780	eV/atom

a = 8.386 Å, b = 8.386 Å, c = 8.568 Å
α = 119.30°, β = 90.00°, γ = 120.00°
Site moments in Bohr magnetons follow the coordinates.
Fractional positions:
Na 0.000 0.000 0.000  0.00
Na 0.000 0.500 0.000  0.00
Na 0.500 0.500 0.000  0.00
Pa 0.000 0.000 0.500  0.63
Sb 0.500 0.000 0.500  0.02
Sb 0.500 0.500 0.500  0.02
Sb 0.000 0.500 0.500  0.02
Se 0.256 0.513 0.270  0.00
Se 0.744 0.487 0.730  0.00
Se 0.763 0.525 0.277  -0.01
Se 0.237 0.475 0.723  -0.01
Se 0.763 0.014 0.277  -0.01
Se 0.237 0.986 0.723  -0.01
Se 0.251 0.014 0.277  -0.01
Se 0.749 0.986 0.723  -0.01

A plane-wave DFT calculation with GGA-PBE was carried out for a geometry-optimized NpHS2Cl structure.

Results
DFT total energy	-6.20	eV/atom
calculated volume	21.4	A^3/atom
space group	P2_1/m (11)

a = 3.829 Å, b = 7.159 Å, c = 7.876 Å
α = 98.20°, β = 90.00°, γ = 90.00°
Site moments in Bohr magnetons follow the coordinates.
Fractional positions:
Np 0.750 0.850 0.234  3.30
Np 0.250 0.150 0.766  3.30
H 0.750 0.719 0.670  0.01
H 0.250 0.281 0.330  0.01
S 0.250 0.628 0.304  -0.18
S 0.250 0.111 0.389  -0.09
S 0.750 0.889 0.611  -0.09
S 0.750 0.372 0.696  -0.18
Cl 0.750 0.184 0.045  -0.04
Cl 0.250 0.816 0.955  -0.04